1.
# MnPBrCl2, relaxed, DFT PBE
# Crystal system = tetragonal
# Polymorph energy (0 for the lowest one) = 0.00 eV/f.u.
# Symmetry = P4/mmm (123)
data_MnPBrCl2
_cell_length_a 4.576
_cell_length_b 4.576
_cell_length_c 5.308
_cell_angle_alpha 90.00
_cell_angle_beta 90.00
_cell_angle_gamma 90.00
_symmetry_space_group_name_H-M 'P 1'
_symmetry_Int_Tables_number 1
loop_
_symmetry_equiv_pos_as_xyz
'x,y,z'
loop_
_atom_site_label
_atom_site_type_symbol
_atom_site_fract_x
_atom_site_fract_y
_atom_site_fract_z
_atom_site_occupancy
P1 P 0.000 0.000 0.500 1
Cl1 Cl 0.000 0.500 0.000 1
Cl2 Cl 0.500 0.000 0.000 1
Br1 Br 0.500 0.500 0.500 1
Mn1 Mn 0.000 0.000 0.000 1

***

2.
# MnPb3Br6Cl2, relaxed, DFT PBE
# Crystal system = monoclinic
# Final energy = -3.75 eV per atom
# Symmetry = C2/m (12)
data_MnPb3Br6Cl2
_cell_length_a 6.529
_cell_length_b 8.502
_cell_length_c 8.532
_cell_angle_alpha 119.88
_cell_angle_beta 91.93
_cell_angle_gamma 90.00
_symmetry_space_group_name_H-M 'P 1'
_symmetry_Int_Tables_number 1
loop_
_symmetry_equiv_pos_as_xyz
'x,y,z'
loop_
_atom_site_label
_atom_site_type_symbol
_atom_site_fract_x
_atom_site_fract_y
_atom_site_fract_z
_atom_site_occupancy
Br1 Br 0.743 0.309 0.157 1
Br2 Br 0.262 0.143 0.285 1
Br3 Br 0.257 0.691 0.843 1
Br4 Br 0.738 0.857 0.715 1
Br5 Br 0.257 0.152 0.843 1
Br6 Br 0.743 0.848 0.157 1
Pb1 Pb 0.000 0.500 0.000 1
Pb2 Pb 0.500 0.500 0.500 1
Pb3 Pb 0.500 0.000 0.500 1
Cl1 Cl 0.756 0.330 0.660 1
Cl2 Cl 0.244 0.670 0.340 1
Mn1 Mn 0.500 0.000 0.000 1

***

3.
# RbMnBrCl2, relaxed, DFT PBE
# Crystal system = tetragonal
# Polymorph energy (0 for the lowest one) = 0.00 eV/f.u.
# Symmetry = I4/mcm (140)
data_RbMnBrCl2
_cell_length_a 7.117
_cell_length_b 7.117
_cell_length_c 7.449
_cell_angle_alpha 118.54
_cell_angle_beta 118.54
_cell_angle_gamma 90.00
_symmetry_space_group_name_H-M 'P 1'
_symmetry_Int_Tables_number 1
loop_
_symmetry_equiv_pos_as_xyz
'x,y,z'
loop_
_atom_site_label
_atom_site_type_symbol
_atom_site_fract_x
_atom_site_fract_y
_atom_site_fract_z
_atom_site_occupancy
Cl1 Cl 0.290 0.790 0.000 1
Cl2 Cl 0.211 0.290 0.000 1
Cl3 Cl 0.790 0.711 0.000 1
Cl4 Cl 0.711 0.211 0.000 1
Mn1 Mn 0.000 0.000 0.000 1
Mn2 Mn 0.500 0.500 0.000 1
Rb1 Rb 0.250 0.750 0.500 1
Rb2 Rb 0.750 0.250 0.500 1
Br1 Br 0.250 0.250 0.500 1
Br2 Br 0.750 0.750 0.500 1

***

4.
# Rb3Mn2Br5Cl2, relaxed, DFT PBE
# Crystal system = tetragonal
# Final energy = -4.10 eV per atom
# Symmetry = I4/mmm (139)
data_Rb3Mn2Br5Cl2
_cell_length_a 5.416
_cell_length_b 5.416
_cell_length_c 13.963
_cell_angle_alpha 101.18
_cell_angle_beta 101.18
_cell_angle_gamma 90.00
_symmetry_space_group_name_H-M 'P 1'
_symmetry_Int_Tables_number 1
loop_
_symmetry_equiv_pos_as_xyz
'x,y,z'
loop_
_atom_site_label
_atom_site_type_symbol
_atom_site_fract_x
_atom_site_fract_y
_atom_site_fract_z
_atom_site_occupancy
Br1 Br 0.902 0.402 0.804 1
Br2 Br 0.598 0.098 0.196 1
Br3 Br 0.098 0.598 0.196 1
Br4 Br 0.402 0.902 0.804 1
Br5 Br 0.500 0.500 0.000 1
Rb1 Rb 0.817 0.817 0.633 1
Rb2 Rb 0.183 0.183 0.367 1
Rb3 Rb 0.000 0.000 0.000 1
Cl1 Cl 0.306 0.306 0.612 1
Cl2 Cl 0.694 0.694 0.388 1
Mn1 Mn 0.603 0.603 0.206 1
Mn2 Mn 0.397 0.397 0.794 1

***

5.
# Rb2MnBr2Cl2, relaxed, DFT PBE
# Crystal system = orthorhombic
# Final energy = -4.03 eV per atom
# Symmetry = Immm (71)
data_Rb2MnBr2Cl2
_cell_length_a 4.272
_cell_length_b 8.292
_cell_length_c 8.292
_cell_angle_alpha 53.18
_cell_angle_beta 75.07
_cell_angle_gamma 75.07
_symmetry_space_group_name_H-M 'P 1'
_symmetry_Int_Tables_number 1
loop_
_symmetry_equiv_pos_as_xyz
'x,y,z'
loop_
_atom_site_label
_atom_site_type_symbol
_atom_site_fract_x
_atom_site_fract_y
_atom_site_fract_z
_atom_site_occupancy
Cl1 Cl 0.829 0.171 0.171 1
Cl2 Cl 0.171 0.829 0.829 1
Br1 Br 0.500 0.250 0.750 1
Br2 Br 0.500 0.750 0.250 1
Rb1 Rb 0.158 0.342 0.342 1
Rb2 Rb 0.842 0.658 0.658 1
Mn1 Mn 0.000 0.000 0.000 1

***

6.
# Rb3Mn2Br3Cl4, relaxed, DFT PBE
# Crystal system = orthorhombic
# Final energy = -4.22 eV per atom
# Symmetry = Immm (71)
data_Rb3Mn2Br3Cl4
_cell_length_a 5.090
_cell_length_b 5.396
_cell_length_c 14.066
_cell_angle_alpha 101.06
_cell_angle_beta 100.42
_cell_angle_gamma 90.00
_symmetry_space_group_name_H-M 'P 1'
_symmetry_Int_Tables_number 1
loop_
_symmetry_equiv_pos_as_xyz
'x,y,z'
loop_
_atom_site_label
_atom_site_type_symbol
_atom_site_fract_x
_atom_site_fract_y
_atom_site_fract_z
_atom_site_occupancy
Br1 Br 0.099 0.597 0.193 1
Br2 Br 0.906 0.403 0.807 1
Br3 Br 0.002 0.000 0.000 1
Cl1 Cl 0.602 0.100 0.201 1
Cl2 Cl 0.402 0.900 0.799 1
Cl3 Cl 0.808 0.806 0.612 1
Cl4 Cl 0.196 0.194 0.388 1
Mn1 Mn 0.899 0.897 0.794 1
Mn2 Mn 0.105 0.103 0.206 1
Rb1 Rb 0.502 0.500 0.000 1
Rb2 Rb 0.318 0.316 0.632 1
Rb3 Rb 0.686 0.684 0.368 1

***

7.
# Rb3Mn2Br4Cl3, relaxed, DFT PBE
# Crystal system = orthorhombic
# Final energy = -4.17 eV per atom
# Symmetry = Imm2 (44)
data_Rb3Mn2Br4Cl3
_cell_length_a 5.413
_cell_length_b 5.108
_cell_length_c 14.170
_cell_angle_alpha 100.38
_cell_angle_beta 101.01
_cell_angle_gamma 90.00
_symmetry_space_group_name_H-M 'P 1'
_symmetry_Int_Tables_number 1
loop_
_symmetry_equiv_pos_as_xyz
'x,y,z'
loop_
_atom_site_label
_atom_site_type_symbol
_atom_site_fract_x
_atom_site_fract_y
_atom_site_fract_z
_atom_site_occupancy
Mn1 Mn 0.097 0.094 0.188 1
Mn2 Mn 0.909 0.906 0.812 1
Br1 Br 0.810 0.808 0.617 1
Br2 Br 0.194 0.192 0.383 1
Br3 Br 0.594 0.091 0.183 1
Br4 Br 0.411 0.909 0.817 1
Cl1 Cl 0.909 0.407 0.815 1
Cl2 Cl 0.095 0.593 0.185 1
Cl3 Cl 0.002 0.000 0.000 1
Rb1 Rb 0.504 0.500 0.000 1
Rb2 Rb 0.322 0.320 0.640 1
Rb3 Rb 0.681 0.680 0.360 1

***

8.
# RbMnBrCl2, relaxed, DFT PBE
# Crystal system = tetragonal
# Polymorph energy (0 for the lowest one) = 0.01 eV/f.u.
# Symmetry = P4/mmm (123)
data_RbMnBrCl2
_cell_length_a 5.083
_cell_length_b 5.083
_cell_length_c 5.438
_cell_angle_alpha 90.00
_cell_angle_beta 90.00
_cell_angle_gamma 90.00
_symmetry_space_group_name_H-M 'P 1'
_symmetry_Int_Tables_number 1
loop_
_symmetry_equiv_pos_as_xyz
'x,y,z'
loop_
_atom_site_label
_atom_site_type_symbol
_atom_site_fract_x
_atom_site_fract_y
_atom_site_fract_z
_atom_site_occupancy
Mn1 Mn 0.000 0.000 0.000 1
Cl1 Cl 0.500 0.000 0.000 1
Cl2 Cl 0.000 0.500 0.000 1
Br1 Br 0.000 0.000 0.500 1
Rb1 Rb 0.500 0.500 0.500 1

***

9.
# Rb3Mn2Br2Cl5, relaxed, DFT PBE
# Crystal system = tetragonal
# Final energy = -4.29 eV per atom
# Symmetry = I4/mmm (139)
data_Rb3Mn2Br2Cl5
_cell_length_a 5.116
_cell_length_b 5.116
_cell_length_c 14.124
_cell_angle_alpha 100.43
_cell_angle_beta 100.43
_cell_angle_gamma 90.00
_symmetry_space_group_name_H-M 'P 1'
_symmetry_Int_Tables_number 1
loop_
_symmetry_equiv_pos_as_xyz
'x,y,z'
loop_
_atom_site_label
_atom_site_type_symbol
_atom_site_fract_x
_atom_site_fract_y
_atom_site_fract_z
_atom_site_occupancy
Rb1 Rb 0.000 0.000 0.000 1
Rb2 Rb 0.178 0.178 0.356 1
Rb3 Rb 0.822 0.822 0.644 1
Cl1 Cl 0.500 0.500 0.000 1
Cl2 Cl 0.408 0.908 0.816 1
Cl3 Cl 0.592 0.092 0.184 1
Cl4 Cl 0.092 0.592 0.184 1
Cl5 Cl 0.908 0.408 0.816 1
Mn1 Mn 0.594 0.594 0.189 1
Mn2 Mn 0.406 0.406 0.811 1
Br1 Br 0.308 0.308 0.616 1
Br2 Br 0.692 0.692 0.384 1

***

10.
# MnS2Br2Cl2, relaxed, DFT PBE
# Crystal system = monoclinic
# Final energy = -3.83 eV per atom
# Symmetry = C2/m (12)
data_MnS2Br2Cl2
_cell_length_a 3.657
_cell_length_b 7.666
_cell_length_c 7.255
_cell_angle_alpha 83.16
_cell_angle_beta 75.40
_cell_angle_gamma 76.20
_symmetry_space_group_name_H-M 'P 1'
_symmetry_Int_Tables_number 1
loop_
_symmetry_equiv_pos_as_xyz
'x,y,z'
loop_
_atom_site_label
_atom_site_type_symbol
_atom_site_fract_x
_atom_site_fract_y
_atom_site_fract_z
_atom_site_occupancy
Br1 Br 0.423 0.906 0.247 1
Br2 Br 0.577 0.094 0.753 1
Cl1 Cl 0.189 0.721 0.901 1
Cl2 Cl 0.811 0.279 0.099 1
Mn1 Mn 0.000 0.000 0.000 1
S1 S 0.922 0.618 0.538 1
S2 S 0.078 0.382 0.462 1

***

11.
# MnSBrCl2, relaxed, DFT PBE
# Crystal system = tetragonal
# Polymorph energy (0 for the lowest one) = 2.84 eV/f.u.
# Symmetry = P4/mmm (123)
data_MnSBrCl2
_cell_length_a 5.207
_cell_length_b 5.207
_cell_length_c 4.930
_cell_angle_alpha 90.00
_cell_angle_beta 90.00
_cell_angle_gamma 90.00
_symmetry_space_group_name_H-M 'P 1'
_symmetry_Int_Tables_number 1
loop_
_symmetry_equiv_pos_as_xyz
'x,y,z'
loop_
_atom_site_label
_atom_site_type_symbol
_atom_site_fract_x
_atom_site_fract_y
_atom_site_fract_z
_atom_site_occupancy
Br1 Br 0.000 0.000 0.000 1
Mn1 Mn 0.500 0.500 0.500 1
S1 S 0.000 0.000 0.500 1
Cl1 Cl 0.500 0.000 0.000 1
Cl2 Cl 0.000 0.500 0.000 1

***

12.
# MnSBrCl2, relaxed, DFT PBE
# Crystal system = tetragonal
# Polymorph energy (0 for the lowest one) = 0.00 eV/f.u.
# Symmetry = P4/mmm (123)
data_MnSBrCl2
_cell_length_a 4.676
_cell_length_b 4.676
_cell_length_c 4.447
_cell_angle_alpha 90.00
_cell_angle_beta 90.00
_cell_angle_gamma 90.00
_symmetry_space_group_name_H-M 'P 1'
_symmetry_Int_Tables_number 1
loop_
_symmetry_equiv_pos_as_xyz
'x,y,z'
loop_
_atom_site_label
_atom_site_type_symbol
_atom_site_fract_x
_atom_site_fract_y
_atom_site_fract_z
_atom_site_occupancy
S1 S 0.000 0.000 0.500 1
Mn1 Mn 0.000 0.000 0.000 1
Cl1 Cl 0.000 0.500 0.000 1
Cl2 Cl 0.500 0.000 0.000 1
Br1 Br 0.500 0.500 0.500 1

***

- What is the formula in the fifth record?
  Rb2MnBr2Cl2